First-principles (PBE) data for Ac2Sn3Rh5 after structural relaxation, as listed in Alexandria.

Output
E above lowest polymorph in eV per atom: 0.0000
Density of states at the Fermi level in states/eV/atom: 0.614
Total magnetic moment in Bohr magnetons per cell: 0.0
ΔE_f in eV/f.u.: -6.13
Uncorrected energy in eV per cell: -126.2

a b c (Å): 8.9639 8.9639 8.9639
angles (deg): 102.89 91.38 138.84
With the nearest neighbours (Å) after each atom.
Fractional coordinates of all 20 atoms:
Ac 0.1253 0.2356 0.3609  6 Rh 3.16-3.45, 3 Sn 3.44-3.48
Ac 0.3747 0.7356 0.1103  6 Rh 3.16-3.45, 3 Sn 3.44-3.48
Ac 0.6253 0.2644 0.8897  6 Rh 3.16-3.45, 3 Sn 3.44-3.48
Ac 0.8747 0.7644 0.6391  6 Rh 3.16-3.45, 3 Sn 3.44-3.48
Sn 0.1395 0.8949 0.0344  5 Rh 2.63-2.64
Sn 0.2500 0.7500 0.5000  6 Rh 2.75-2.76
Sn 0.3605 0.3949 0.7554  5 Rh 2.63-2.64
Sn 0.6395 0.6051 0.2446  5 Rh 2.63-2.64
Sn 0.7500 0.2500 0.5000  6 Rh 2.75-2.76
Sn 0.8605 0.1051 0.9656  5 Rh 2.63-2.64
Rh 0.0307 0.7500 0.2807  3 Sn 2.64-2.75, 2 Rh 2.76
Rh 0.1095 0.6613 0.7709  3 Sn 2.64-2.76, 2 Rh 2.76
Rh 0.2500 0.2500 0.0000  4 Sn 2.63
Rh 0.3905 0.1613 0.5518  3 Sn 2.64-2.76, 2 Rh 2.76
Rh 0.4693 0.7500 0.7193  3 Sn 2.64-2.75, 2 Rh 2.76
Rh 0.5307 0.2500 0.2807  3 Sn 2.64-2.75, 2 Rh 2.76
Rh 0.6095 0.8387 0.4482  3 Sn 2.64-2.76, 2 Rh 2.76
Rh 0.7500 0.7500 0.0000  4 Sn 2.63
Rh 0.8905 0.3387 0.2291  3 Sn 2.64-2.76, 2 Rh 2.76
Rh 0.9693 0.2500 0.7193  3 Sn 2.64-2.75, 2 Rh 2.76